*one*
Below is a geometry-optimized HfPtS3 structure, with properties calculated at the PBE level.

a = 4.8799 Å, b = 4.8799 Å, c = 4.8799 Å
α = 90.00°, β = 90.00°, γ = 90.00°
Sites, in units of the cell vectors:
S  0.0000  0.0000  0.5000
S  0.5000  0.0000  0.0000
S  0.0000  0.5000  0.0000
Hf  0.0000  0.0000  0.0000
Pt  0.5000  0.5000  0.5000

Summary:
- Total magnetization: 1.8 μB/f.u.

***

*two*
Below is a geometry-optimized HfPtS3 structure, with properties calculated at the PBE level.

a = 4.6286 Å, b = 4.6286 Å, c = 4.6286 Å
α = 90.00°, β = 90.00°, γ = 90.00°
Sites, in units of the cell vectors:
S  0.5000  0.0000  0.0000
S  0.0000  0.5000  0.0000
S  0.0000  0.0000  0.5000
Pt  0.0000  0.0000  0.0000
Hf  0.5000  0.5000  0.5000

Summary:
- Total magnetization: 0.0 μB/f.u.

***

Relative energy of each structure, in meV per atom: *one* 0; *two* 42.

***

*one*
Below is a geometry-optimized HfPt3S structure, with properties calculated at the PBE level.

a = 4.9331 Å, b = 4.9331 Å, c = 4.9331 Å
α = 90.00°, β = 90.00°, γ = 90.00°
Sites, in units of the cell vectors:
S  0.5000  0.5000  0.5000
Pt  0.5000  0.0000  0.0000
Pt  0.0000  0.5000  0.0000
Pt  0.0000  0.0000  0.5000
Hf  0.0000  0.0000  0.0000

Summary:
- Total magnetization: 0.0 μB/f.u.

***

*two*
Below is a geometry-optimized HfPt3S structure, with properties calculated at the PBE level.

a = 4.5223 Å, b = 4.5223 Å, c = 4.5223 Å
α = 90.00°, β = 90.00°, γ = 90.00°
Sites, in units of the cell vectors:
Pt  0.0000  0.5000  0.0000
Pt  0.5000  0.0000  0.0000
Pt  0.0000  0.0000  0.5000
S  0.0000  0.0000  0.0000
Hf  0.5000  0.5000  0.5000

Summary:
- Total magnetization: 0.0 μB/f.u.

***

Relative energy of each structure, in meV per atom: *one* 999; *two* 0.

***

*one*
Below is a geometry-optimized Hf2SbPt2 structure, with properties calculated at the PBE level.

a = 7.5249 Å, b = 7.5249 Å, c = 3.4801 Å
α = 90.00°, β = 90.00°, γ = 90.00°
Sites, in units of the cell vectors:
Sb  0.0000  0.0000  0.0000
Sb  0.5000  0.5000  0.0000
Pt  0.6302  0.1302  0.0000
Pt  0.3698  0.8698  0.0000
Pt  0.1302  0.3698  0.0000
Pt  0.8698  0.6302  0.0000
Hf  0.6641  0.8359  0.5000
Hf  0.1641  0.6641  0.5000
Hf  0.8359  0.3359  0.5000
Hf  0.3359  0.1641  0.5000

Summary:
- Total magnetization: 0.0 μB/f.u.

***

*two*
Below is a geometry-optimized Hf2SbPt2 structure, with properties calculated at the PBE level.

a = 7.8261 Å, b = 7.8261 Å, c = 3.3146 Å
α = 90.00°, β = 90.00°, γ = 90.00°
Sites, in units of the cell vectors:
Hf  0.8405  0.6595  0.0000
Hf  0.6595  0.1595  0.0000
Hf  0.3405  0.8405  0.0000
Hf  0.1595  0.3405  0.0000
Pt  0.8696  0.3696  0.5000
Pt  0.1304  0.6304  0.5000
Pt  0.6304  0.8696  0.5000
Pt  0.3696  0.1304  0.5000
Sb  0.0000  0.0000  0.0000
Sb  0.5000  0.5000  0.0000

Summary:
- Total magnetization: 0.0 μB/f.u.

***

*three*
Below is a geometry-optimized Hf2SbPt2 structure, with properties calculated at the PBE level.

a = 4.5642 Å, b = 4.5642 Å, c = 6.2613 Å
α = 68.62°, β = 68.62°, γ = 90.00°
Sites, in units of the cell vectors:
Sb  0.0000  0.0000  0.0000
Pt  0.3770  0.3770  0.2459
Pt  0.6230  0.6230  0.7541
Hf  0.7500  0.2500  0.5000
Hf  0.2500  0.7500  0.5000

Summary:
- Total magnetization: 0.0 μB/f.u.

***

Relative energy of each structure, in meV per atom: *one* 0; *two* 136; *three* 194.

***

*one*
Below is a geometry-optimized HfSb3Pt structure, with properties calculated at the PBE level.

a = 5.1964 Å, b = 5.1964 Å, c = 5.1964 Å
α = 90.00°, β = 90.00°, γ = 90.00°
Sites, in units of the cell vectors:
Sb  0.0000  0.0000  0.5000
Sb  0.0000  0.5000  0.0000
Sb  0.5000  0.0000  0.0000
Hf  0.5000  0.5000  0.5000
Pt  0.0000  0.0000  0.0000

Summary:
- Total magnetization: 0.0 μB/f.u.

***

*two*
Below is a geometry-optimized HfSb3Pt structure, with properties calculated at the PBE level.

a = 5.3984 Å, b = 5.3984 Å, c = 5.3984 Å
α = 90.00°, β = 90.00°, γ = 90.00°
Sites, in units of the cell vectors:
Sb  0.0000  0.5000  0.0000
Sb  0.5000  0.0000  0.0000
Sb  0.0000  0.0000  0.5000
Pt  0.5000  0.5000  0.5000
Hf  0.0000  0.0000  0.0000

Summary:
- Total magnetization: 0.0 μB/f.u.

***

Relative energy of each structure, in meV per atom: *one* 0; *two* 202.

***

*one*
Below is a geometry-optimized HfSc2Pt structure, with properties calculated at the PBE level.

a = 4.8196 Å, b = 4.8196 Å, c = 4.8196 Å
α = 60.00°, β = 60.00°, γ = 60.00°
Sites, in units of the cell vectors:
Sc  0.2500  0.2500  0.2500
Sc  0.7500  0.7500  0.7500
Pt  0.5000  0.5000  0.5000
Hf  0.0000  0.0000  0.0000

Summary:
- Total magnetization: 2.3 μB/f.u.

***

*two*
Below is a geometry-optimized HfSc2Pt structure, with properties calculated at the PBE level.

a = 10.2332 Å, b = 10.2332 Å, c = 10.2332 Å
α = 17.92°, β = 17.92°, γ = 17.92°
Sites, in units of the cell vectors:
Sc  0.1004  0.1004  0.1004
Sc  0.8996  0.8996  0.8996
Hf  0.0000  0.0000  0.0000
Pt  0.5000  0.5000  0.5000

Summary:
- Total magnetization: 0.0 μB/f.u.

***

*three*
Below is a geometry-optimized HfSc2Pt structure, with properties calculated at the PBE level.

a = 3.3089 Å, b = 3.3089 Å, c = 7.4513 Å
α = 90.00°, β = 90.00°, γ = 90.00°
Sites, in units of the cell vectors:
Sc  0.0000  0.0000  0.2162
Sc  0.0000  0.0000  0.7838
Pt  0.5000  0.5000  0.0000
Hf  0.5000  0.5000  0.5000

Summary:
- Total magnetization: 0.0 μB/f.u.

***

*four*
Below is a geometry-optimized HfSc2Pt structure, with properties calculated at the PBE level.

a = 7.8463 Å, b = 7.8463 Å, c = 6.2485 Å
α = 51.11°, β = 51.11°, γ = 90.00°
Sites, in units of the cell vectors:
Pt  0.0000  0.0000  0.0000
Pt  0.7500  0.2500  0.5000
Sc  0.8750  0.9282  0.7500
Sc  0.0718  0.6250  0.2500
Sc  0.6782  0.1250  0.2500
Sc  0.3750  0.3218  0.7500
Hf  0.2500  0.7500  0.5000
Hf  0.5000  0.5000  0.0000

Summary:
- Total magnetization: 0.0 μB/f.u.

***

Relative energy of each structure, in meV per atom: *one* 262; *two* 460; *three* 0; *four* 275.

***

*one*
Below is a geometry-optimized HfScPt structure, with properties calculated at the PBE level.

a = 3.3476 Å, b = 3.3476 Å, c = 5.7590 Å
α = 106.90°, β = 106.90°, γ = 90.00°
Sites, in units of the cell vectors:
Hf  0.6015  0.6015  0.2031
Pt  0.9552  0.9552  0.9105
Sc  0.2932  0.2932  0.5865

Summary:
- Total magnetization: 0.0 μB/f.u.

***

*two*
Below is a geometry-optimized HfScPt structure, with properties calculated at the PBE level.

a = 4.5573 Å, b = 4.5573 Å, c = 4.5573 Å
α = 60.00°, β = 60.00°, γ = 60.00°
Sites, in units of the cell vectors:
Hf  0.5000  0.5000  0.5000
Pt  0.2500  0.2500  0.2500
Sc  0.0000  0.0000  0.0000

Summary:
- Total magnetization: 0.0 μB/f.u.

***

Relative energy of each structure, in meV per atom: *one* 0; *two* 31.

***

*one*
Below is a geometry-optimized HfScPt3 structure, with properties calculated at the PBE level.

a = 4.8996 Å, b = 4.8996 Å, c = 4.8996 Å
α = 90.00°, β = 90.00°, γ = 90.00°
Sites, in units of the cell vectors:
Hf  0.0000  0.0000  0.0000
Pt  0.0000  0.5000  0.0000
Pt  0.0000  0.0000  0.5000
Pt  0.5000  0.0000  0.0000
Sc  0.5000  0.5000  0.5000

Summary:
- Total magnetization: 0.0 μB/f.u.

***

*two*
Below is a geometry-optimized HfScPt3 structure, with properties calculated at the PBE level.

a = 5.0755 Å, b = 5.4471 Å, c = 7.3809 Å
α = 111.65°, β = 90.00°, γ = 90.00°
Sites, in units of the cell vectors:
Sc  0.2500  0.5665  0.1330
Sc  0.7500  0.4335  0.8670
Pt  0.2500  0.1104  0.7136
Pt  0.7500  0.8896  0.2864
Pt  0.7500  0.3968  0.2864
Pt  0.2500  0.6032  0.7136
Pt  0.5000  0.0000  0.0000
Pt  0.0000  0.0000  0.0000
Hf  0.7500  0.8071  0.6141
Hf  0.2500  0.1929  0.3859

Summary:
- Total magnetization: 0.0 μB/f.u.

***

Relative energy of each structure, in meV per atom: *one* 895; *two* 0.

***

*one*
Below is a geometry-optimized HfSc2Pt2 structure, with properties calculated at the PBE level.

a = 4.2291 Å, b = 4.2291 Å, c = 6.5010 Å
α = 71.02°, β = 71.02°, γ = 90.00°
Sites, in units of the cell vectors:
Sc  0.2500  0.7500  0.5000
Sc  0.7500  0.2500  0.5000
Hf  0.0000  0.0000  0.0000
Pt  0.6104  0.6104  0.7792
Pt  0.3896  0.3896  0.2208

Summary:
- Total magnetization: 0.0 μB/f.u.

***

*two*
Below is a geometry-optimized HfSc2Pt2 structure, with properties calculated at the PBE level.

a = 8.0554 Å, b = 8.0554 Å, c = 2.9084 Å
α = 90.00°, β = 90.00°, γ = 90.00°
Sites, in units of the cell vectors:
Pt  0.8368  0.3368  0.5000
Pt  0.3368  0.1632  0.5000
Pt  0.1632  0.6632  0.5000
Pt  0.6632  0.8368  0.5000
Sc  0.8630  0.6370  0.0000
Sc  0.3630  0.8630  0.0000
Sc  0.1370  0.3630  0.0000
Sc  0.6370  0.1370  0.0000
Hf  0.0000  0.0000  0.0000
Hf  0.5000  0.5000  0.0000

Summary:
- Total magnetization: 0.0 μB/f.u.

***

*three*
Below is a geometry-optimized HfSc2Pt2 structure, with properties calculated at the PBE level.

a = 7.2600 Å, b = 7.2600 Å, c = 3.7461 Å
α = 90.00°, β = 90.00°, γ = 90.00°
Sites, in units of the cell vectors:
Pt  0.8605  0.6395  0.0000
Pt  0.1395  0.3605  0.0000
Pt  0.3605  0.8605  0.0000
Pt  0.6395  0.1395  0.0000
Hf  0.5000  0.5000  0.0000
Hf  0.0000  0.0000  0.0000
Sc  0.3372  0.1628  0.5000
Sc  0.1628  0.6628  0.5000
Sc  0.6628  0.8372  0.5000
Sc  0.8372  0.3372  0.5000

Summary:
- Total magnetization: 0.0 μB/f.u.

***

*four*
Below is a geometry-optimized HfSc2Pt2 structure, with properties calculated at the PBE level.

a = 4.4496 Å, b = 5.3759 Å, c = 5.3759 Å
α = 63.74°, β = 65.55°, γ = 65.55°
Sites, in units of the cell vectors:
Sc  0.7983  0.7017  0.7017
Sc  0.2017  0.2983  0.2983
Pt  0.5000  0.2685  0.7315
Pt  0.5000  0.7315  0.2685
Hf  0.0000  0.0000  0.0000

Summary:
- Total magnetization: 0.0 μB/f.u.

***

Relative energy of each structure, in meV per atom: *one* 295; *two* 211; *three* 0; *four* 41.

***

*one*
Below is a geometry-optimized HfPt3Se structure, with properties calculated at the PBE level.

a = 4.6743 Å, b = 4.6743 Å, c = 4.6743 Å
α = 90.00°, β = 90.00°, γ = 90.00°
Sites, in units of the cell vectors:
Pt  0.0000  0.5000  0.0000
Pt  0.0000  0.0000  0.5000
Pt  0.5000  0.0000  0.0000
Hf  0.5000  0.5000  0.5000
Se  0.0000  0.0000  0.0000

Summary:
- Total magnetization: 0.0 μB/f.u.

***

*two*
Below is a geometry-optimized HfPt3Se structure, with properties calculated at the PBE level.

a = 4.9385 Å, b = 4.9385 Å, c = 4.9385 Å
α = 90.00°, β = 90.00°, γ = 90.00°
Sites, in units of the cell vectors:
Se  0.5000  0.5000  0.5000
Pt  0.0000  0.0000  0.5000
Pt  0.5000  0.0000  0.0000
Pt  0.0000  0.5000  0.0000
Hf  0.0000  0.0000  0.0000

Summary:
- Total magnetization: 0.0 μB/f.u.

***

Relative energy of each structure, in meV per atom: *one* 0; *two* 511.

***

*one*
Below is a geometry-optimized SmHfPt2 structure, with properties calculated at the PBE level.

a = 3.3314 Å, b = 3.3314 Å, c = 7.4006 Å
α = 90.00°, β = 90.00°, γ = 90.00°
Sites, in units of the cell vectors:
Hf  0.5000  0.5000  0.0000
Pt  0.0000  0.0000  0.2060
Pt  0.0000  0.0000  0.7940
Sm  0.5000  0.5000  0.5000

Summary:
- Total magnetization: 0.0 μB/f.u.

***

*two*
Below is a geometry-optimized SmHfPt2 structure, with properties calculated at the PBE level.

a = 4.4851 Å, b = 5.7440 Å, c = 7.3780 Å
α = 116.26°, β = 90.00°, γ = 90.00°
Sites, in units of the cell vectors:
Pt  0.2500  0.8523  0.2265
Pt  0.7500  0.2754  0.3929
Pt  0.2500  0.7246  0.6071
Pt  0.7500  0.1477  0.7735
Sm  0.2500  0.2794  0.0956
Sm  0.7500  0.7206  0.9044
Hf  0.2500  0.2421  0.6000
Hf  0.7500  0.7579  0.4000

Summary:
- Total magnetization: 0.0 μB/f.u.

***

*three*
Below is a geometry-optimized SmHfPt2 structure, with properties calculated at the PBE level.

a = 4.0667 Å, b = 4.0667 Å, c = 6.8018 Å
α = 72.61°, β = 72.61°, γ = 60.00°
Sites, in units of the cell vectors:
Sm  0.5000  0.5000  0.5000
Pt  0.7360  0.7360  0.7920
Pt  0.2640  0.2640  0.2080
Hf  0.0000  0.0000  0.0000

Summary:
- Total magnetization: 0.0 μB/f.u.

***

Relative energy of each structure, in meV per atom: *one* 33; *two* 0; *three* 111.